Record 1
La2Dy8Ho after structural relaxation, computed with PBE-GGA.

```
La2Dy8Ho
1.0
9.415 -3.530 0.000
9.415 3.530 0.000
-0.243 0.000 5.624
La Dy Ho
2 8 1
direct
0.216 0.216 0.256
0.784 0.784 0.744
0.044 0.044 0.237
0.106 0.640 0.264
0.317 0.317 0.768
0.360 0.894 0.736
0.640 0.106 0.264
0.683 0.683 0.232
0.894 0.360 0.736
0.956 0.956 0.763
0.500 0.500 0.000
```

Calculated values
M_tot = 0.000 μB per cell
ΔH_f (0 K) = 2.0 eV/f.u.
E above lowest polymorph = 0.153 eV/atom


Record 2
LaDy15Ho4 after structural relaxation, computed with PBE-GGA.

```
LaDy15Ho4
1.0
5.021 0.000 0.000
0.000 5.021 0.000
0.000 0.000 25.121
La Dy Ho
1 15 4
direct
0.000 0.000 0.000
0.000 0.500 0.103
0.000 0.500 0.301
0.000 0.500 0.500
0.000 0.500 0.699
0.000 0.500 0.897
0.500 0.000 0.103
0.500 0.000 0.301
0.500 0.000 0.500
0.500 0.000 0.699
0.500 0.000 0.897
0.500 0.500 0.000
0.500 0.500 0.203
0.500 0.500 0.401
0.500 0.500 0.599
0.500 0.500 0.797
0.000 0.000 0.202
0.000 0.000 0.401
0.000 0.000 0.599
0.000 0.000 0.798
```

Calculated values
M_tot = 0.000 μB per cell
ΔH_f (0 K) = 0.4 eV/f.u.


Record 3
La3DyHo after structural relaxation, computed with PBE-GGA.

```
La3DyHo
1.0
7.800 -6.806 0.000
7.800 6.806 0.000
-1.721 0.000 6.488
La Dy Ho
12 4 4
direct
0.089 0.720 0.566
0.114 0.489 0.850
0.239 0.364 0.351
0.280 0.911 0.934
0.364 0.239 0.851
0.489 0.114 0.350
0.511 0.886 0.650
0.636 0.761 0.149
0.720 0.089 0.066
0.761 0.636 0.649
0.886 0.511 0.150
0.911 0.280 0.434
0.309 0.691 0.250
0.435 0.565 0.750
0.565 0.435 0.250
0.691 0.309 0.750
0.030 0.168 0.936
0.168 0.030 0.436
0.832 0.970 0.564
0.970 0.832 0.064
```

Calculated values
M_tot = 0.000 μB per cell
ΔH_f (0 K) = 0.3 eV/f.u.
E above lowest polymorph = 0.000 eV/atom